[1]
# Tb3SnHg2, relaxed, DFT PBE-GGA
data_Tb3SnHg2
_cell_length_a 5.3057
_cell_length_b 16.0572
_cell_length_c 3.7188
_cell_angle_alpha 90.00
_cell_angle_beta 90.00
_cell_angle_gamma 90.00
_symmetry_space_group_name_H-M 'C m m m'
_symmetry_Int_Tables_number 65
_symmetry_space_group_name_Hall '-C 2 2'
loop_
_atom_site_label
_atom_site_type_symbol
_atom_site_fract_x
_atom_site_fract_y
_atom_site_fract_z
Tb1 Tb 0.0000 0.0000 0.0000
Tb2 Tb 0.0000 0.3340 0.0000
Sn1 Sn 0.0000 0.5000 0.5000
Hg1 Hg 0.0000 0.1749 0.5000
# Formation enthalpy at 0 K, eV per atom: -0.550
# E_tot, eV/f.u.: -21.80

[2]
# Tm4TeSe5, relaxed, DFT PBE-GGA
data_Tm4TeSe5
_cell_length_a 17.7484
_cell_length_b 4.0977
_cell_length_c 8.5028
_cell_angle_alpha 90.00
_cell_angle_beta 105.83
_cell_angle_gamma 90.00
_symmetry_space_group_name_H-M 'C 1 2/m 1'
_symmetry_Int_Tables_number 12
loop_
_symmetry_equiv_pos_as_xyz
'x,y,z'
'-x,-y,-z'
'-x,y,-z'
'x,-y,z'
'x+1/2,y+1/2,z'
'-x+1/2,-y+1/2,-z'
'-x+1/2,y+1/2,-z'
'x+1/2,-y+1/2,z'
loop_
_atom_site_label
_atom_site_type_symbol
_atom_site_fract_x
_atom_site_fract_y
_atom_site_fract_z
Tm1 Tm 0.0054 0.0000 0.2739
Tm2 Tm 0.1833 0.5000 0.1219
Te1 Te 0.0000 0.5000 0.0000
Se1 Se 0.0000 0.5000 0.5000
Se2 Se 0.1601 0.0000 0.8699
Se3 Se 0.1638 0.0000 0.3289
# E_tot, eV/f.u.: -55.43
# Formation energy from raw total energies, meV/atom: -1698

Going through the records in order, we get density values of 10448, 6688 kg/m3.